# Sc2TeAu2

Crystalline Sc2TeAu2 at its relaxed geometry (PBE, the Alexandria database).

Cell lengths 6.3363, 6.3363, 6.3363 Å; angles 135.82, 135.82, 64.26 degrees
Element x y z (fractional)
Sc (0.2500, 0.7500, 0.5000)
Sc (0.7500, 0.2500, 0.5000)
Te (0.0000, 0.0000, 0.0000)
Au (0.3754, 0.3754, 0.0000)
Au (0.6246, 0.6246, 0.0000)

Summary:
For the energy above the most stable polymorph in this dataset, the calculation gives 0.2056 eV per atom. Its total moment is 0.000 μB per atom. The calculation puts the energy relative to the elements, uncorrected at -0.494 eV per atom.


# Cs2Cd2InBr7

Crystalline Cs2Cd2InBr7 at its relaxed geometry (PBE, the Alexandria database).

Cell lengths 5.5969, 5.5969, 14.8434 Å; angles 100.81, 100.81, 90.01 degrees
Element x y z (fractional)
Cs (0.1757, 0.1757, 0.3554)
Cs (0.8243, 0.8243, 0.6446)
Cd (0.4034, 0.4034, 0.8039)
Cd (0.5966, 0.5966, 0.1961)
In (0.0000, 0.0000, 0.0000)
Br (0.0881, 0.5876, 0.1790)
Br (0.3084, 0.3084, 0.6134)
Br (0.4124, 0.9119, 0.8210)
Br (0.5000, 0.5000, 0.0000)
Br (0.5876, 0.0881, 0.1790)
Br (0.6916, 0.6916, 0.3866)
Br (0.9119, 0.4124, 0.8210)

Summary:
Its total moment is 0.000 μB per atom. The calculation puts the energy relative to the elements, uncorrected at -1.114 eV per atom.